(1)
A relaxed structure of Mg16Al12V, computed with PBE.

Summary:
* space group: R3m
* uncorrected energy: -2.743 eV/atom

Geometry as extended XYZ:
```
29
Lattice="7.373 4.257 3.047 -7.373 4.257 3.047 0.000 -8.514 3.047" Properties=species:S:1:pos:R:3 pbc="T T T"
Mg 0.000 0.000 0.000
Mg -2.933 -1.693 4.958
Mg -2.083 -4.599 5.768
Mg -5.024 0.495 5.768
Mg -4.803 -2.773 7.079
Mg 0.000 -2.553 4.580
Mg -2.211 1.277 4.580
Mg 2.083 -4.599 5.768
Mg -2.941 4.104 5.768
Mg 2.933 -1.693 4.958
Mg 0.000 3.387 4.958
Mg 2.211 1.277 4.580
Mg 5.024 0.495 5.768
Mg 2.941 4.103 5.768
Mg 4.803 -2.773 7.079
Mg 0.000 5.546 7.079
Al -1.376 -0.794 2.659
Al 0.000 -5.314 3.553
Al -4.602 2.657 3.553
Al 1.376 -0.794 2.659
Al 0.000 1.588 2.659
Al -1.327 -2.321 7.390
Al -2.673 0.011 7.390
Al 4.602 2.657 3.553
Al 1.327 -2.321 7.390
Al -1.346 2.309 7.390
Al 2.673 0.011 7.390
Al 1.346 2.309 7.390
V 0.000 0.000 6.295
```

---

(2)
A relaxed structure of AcLaNiIr, computed with PBE.

Summary:
* space group: F-43m
* uncorrected energy: -6.315 eV/atom

Geometry as extended XYZ:
```
4
Lattice="0.000 3.636 3.636 3.636 0.000 3.636 3.636 3.636 0.000" Properties=species:S:1:pos:R:3 pbc="T T T"
Ac 0.000 0.000 0.000
La 3.636 3.636 3.636
Ni 5.453 5.453 5.453
Ir 1.818 1.818 1.818
```

---

(3)
A relaxed structure of CaLaY2, computed with PBE.

Summary:
* space group: Cmm2
* uncorrected energy: -4.857 eV/atom

Geometry as extended XYZ:
```
4
Lattice="1.968 -2.973 0.000 1.968 2.973 0.000 0.000 0.000 12.239" Properties=species:S:1:pos:R:3 pbc="T T T"
Ca 0.000 0.000 0.000
La 1.968 0.000 3.332
Y 0.000 0.000 6.305
Y 1.968 0.000 9.102
```

---

(4)
A relaxed structure of KBa2In2, computed with PBE.

Summary:
* space group: I4/mmm
* uncorrected energy: -2.235 eV/atom

Geometry as extended XYZ:
```
5
Lattice="-3.369 3.369 5.235 3.369 -3.369 5.235 3.369 3.369 -5.235" Properties=species:S:1:pos:R:3 pbc="T T T"
K 0.000 0.000 0.000
Ba 3.369 0.000 2.617
Ba 0.000 3.369 2.617
In 0.000 0.000 3.841
In 0.000 0.000 6.629
```

---

no.,distance to the lowest polymorph of the same formula (kJ/mol of atoms),formation energy (eV/f.u.)
1,0.0,-0.016
2,10.6,-1.583
3,4.9,0.430
4,9.0,-0.758